[1]
A plane-wave DFT calculation with PBE-GGA was carried out for crystalline BaAcGaBi at its relaxed geometry.

Cell and atoms, written as extended XYZ:
```
4
Lattice="0.000 4.141 4.141 4.141 0.000 4.141 4.141 4.141 0.000" Properties=species:S:1:pos:R:3 pbc="T T T"
Ba 0.000 0.000 0.000
Ac 4.141 4.141 4.141
Ga 2.070 2.070 2.070
Bi 6.211 6.211 6.211
```

Summary:
* space group: F-43m
* calculated density: 7.5 Mg/m³
* formation energy from the elements: -479 meV/atom
* size of the total moment: 0.00 μB per formula unit

[2]
A plane-wave DFT calculation with PBE-GGA was carried out for crystalline BaAcGeBi at its relaxed geometry.

Cell and atoms, written as extended XYZ:
```
4
Lattice="0.000 4.132 4.132 4.132 0.000 4.132 4.132 4.132 0.000" Properties=species:S:1:pos:R:3 pbc="T T T"
Ba 0.000 0.000 0.000
Ac 4.132 4.132 4.132
Ge 6.197 6.197 6.197
Bi 2.066 2.066 2.066
```

Summary:
* space group: F-43m
* calculated density: 7.6 Mg/m³
* formation energy from the elements: -513 meV/atom
* size of the total moment: 0.00 μB per formula unit

[3]
A plane-wave DFT calculation with PBE-GGA was carried out for crystalline BaAcHgBi at its relaxed geometry.

Cell and atoms, written as extended XYZ:
```
4
Lattice="0.000 4.181 4.181 4.181 0.000 4.181 4.181 4.181 0.000" Properties=species:S:1:pos:R:3 pbc="T T T"
Ba 0.000 0.000 0.000
Ac 4.181 4.181 4.181
Hg 2.091 2.091 2.091
Bi 6.272 6.272 6.272
```

Summary:
* space group: F-43m
* calculated density: 8.8 Mg/m³
* formation energy from the elements: -598 meV/atom
* size of the total moment: 0.00 μB per formula unit

[4]
A plane-wave DFT calculation with PBE-GGA was carried out for crystalline BaAcBiI at its relaxed geometry.

Cell and atoms, written as extended XYZ:
```
4
Lattice="0.000 4.226 4.226 4.226 0.000 4.226 4.226 4.226 0.000" Properties=species:S:1:pos:R:3 pbc="T T T"
Ba 0.000 0.000 0.000
Ac 4.226 4.226 4.226
Bi 6.339 6.339 6.339
I 2.113 2.113 2.113
```

Summary:
* distance to the lowest polymorph of the same formula: 42 meV/atom
* space group: F-43m
* calculated density: 7.7 Mg/m³
* size of the total moment: 0.00 μB per formula unit

[5]
A plane-wave DFT calculation with PBE-GGA was carried out for crystalline BaAcBiI at its relaxed geometry.

Cell and atoms, written as extended XYZ:
```
8
Lattice="2.788 1.610 13.931 -2.788 1.610 13.931 0.000 -3.220 13.931" Properties=species:S:1:pos:R:3 pbc="T T T"
Ba 0.000 0.000 4.351
Ba 0.000 0.000 37.440
Ac 0.000 0.000 12.695
Ac 0.000 0.000 29.097
Bi 0.000 0.000 16.279
Bi 0.000 0.000 25.513
I 0.000 0.000 8.255
I 0.000 0.000 33.537
```

Summary:
* distance to the lowest polymorph of the same formula: 0 meV/atom
* space group: R-3m
* calculated density: 6.2 Mg/m³
* size of the total moment: 0.81 μB per formula unit

[6]
A plane-wave DFT calculation with PBE-GGA was carried out for crystalline BaAcInBi at its relaxed geometry.

Cell and atoms, written as extended XYZ:
```
4
Lattice="0.000 4.217 4.217 4.217 0.000 4.217 4.217 4.217 0.000" Properties=species:S:1:pos:R:3 pbc="T T T"
Ba 0.000 0.000 0.000
Ac 4.217 4.217 4.217
In 6.326 6.326 6.326
Bi 2.109 2.109 2.109
```

Summary:
* space group: F-43m
* calculated density: 7.6 Mg/m³
* formation energy from the elements: -508 meV/atom
* size of the total moment: 0.00 μB per formula unit

[7]
A plane-wave DFT calculation with PBE-GGA was carried out for crystalline Ba2Li3AcBi4 at its relaxed geometry.

Cell and atoms, written as extended XYZ:
```
10
Lattice="5.153 0.000 0.000 0.000 5.153 0.000 0.000 0.000 12.676" Properties=species:S:1:pos:R:3 pbc="T T T"
Ba 0.000 2.576 2.689
Ba 2.576 0.000 9.987
Li 0.000 2.576 11.266
Li 2.576 0.000 1.409
Li 2.576 2.576 6.338
Ac 0.000 0.000 6.338
Bi 0.000 0.000 0.000
Bi 0.000 2.576 8.387
Bi 2.576 0.000 4.288
Bi 2.576 2.576 0.000
```

Summary:
* space group: P-4m2
* calculated density: 6.7 Mg/m³
* formation energy from the elements: -698 meV/atom
* size of the total moment: 0.47 μB per formula unit

[8]
A plane-wave DFT calculation with PBE-GGA was carried out for crystalline BaLi2AcBi2 at its relaxed geometry.

Cell and atoms, written as extended XYZ:
```
6
Lattice="4.919 0.000 0.000 -2.460 4.260 0.000 0.000 0.000 9.178" Properties=species:S:1:pos:R:3 pbc="T T T"
Ba 0.000 0.000 0.000
Li 0.000 2.840 6.726
Li 2.460 1.420 2.451
Ac 0.000 0.000 4.589
Bi 0.000 2.840 2.413
Bi 2.460 1.420 6.765
```

Summary:
* space group: P-3m1
* calculated density: 6.9 Mg/m³
* formation energy from the elements: -760 meV/atom
* size of the total moment: 0.00 μB per formula unit